No. 1
Density functional theory data (SCAN) for ZnCd3 at its PBEsol-relaxed geometry.

Summary:
Total DFT energy (no corrections): -0.960 Ha/atom

a b c (Å): 3.098 3.098 9.479
angles (deg): 80.60 80.60 60.00
Atoms (fractional coordinates):
Zn 0.000 0.000 0.000
Cd 0.745 0.745 0.765
Cd 0.255 0.255 0.235
Cd 0.500 0.500 0.500

No. 2
Density functional theory data (SCAN) for Nd4GeO8 at its PBEsol-relaxed geometry.

Summary:
Total DFT energy (no corrections): -0.811 Ha/atom
ΔE_f (raw): -3.350 eV per atom

a b c (Å): 5.719 7.439 17.918
angles (deg): 90.00 90.00 90.00
Atoms (fractional coordinates):
O 0.771 0.250 0.616
O 0.742 0.981 0.006
O 0.758 0.519 0.506
O 0.926 0.060 0.755
O 0.729 0.250 0.116
O 0.926 0.440 0.755
O 0.271 0.750 0.884
O 0.229 0.750 0.384
O 0.694 0.250 0.383
O 0.806 0.250 0.883
O 0.805 0.750 0.662
O 0.779 0.750 0.874
O 0.758 0.981 0.506
O 0.194 0.750 0.117
O 0.721 0.750 0.374
O 0.306 0.750 0.617
O 0.242 0.019 0.494
O 0.195 0.250 0.338
O 0.574 0.440 0.255
O 0.426 0.940 0.745
O 0.574 0.060 0.255
O 0.426 0.560 0.745
O 0.305 0.250 0.838
O 0.742 0.519 0.006
O 0.695 0.750 0.162
O 0.074 0.940 0.245
O 0.221 0.250 0.126
O 0.258 0.019 0.994
O 0.242 0.481 0.494
O 0.279 0.250 0.626
O 0.074 0.560 0.245
O 0.258 0.481 0.994
Nd 0.044 0.750 0.782
Nd 0.977 0.509 0.397
Nd 0.523 0.991 0.897
Nd 0.977 0.991 0.397
Nd 0.956 0.250 0.218
Nd 0.023 0.491 0.603
Nd 0.019 0.750 0.986
Nd 0.456 0.750 0.282
Nd 0.023 0.009 0.603
Nd 0.523 0.509 0.897
Nd 0.544 0.250 0.718
Nd 0.981 0.250 0.014
Nd 0.481 0.750 0.486
Nd 0.477 0.009 0.103
Nd 0.519 0.250 0.514
Nd 0.477 0.491 0.103
Ge 0.990 0.750 0.192
Ge 0.010 0.250 0.808
Ge 0.490 0.250 0.308
Ge 0.510 0.750 0.692

No. 3
Density functional theory data (SCAN) for Ca2PPt2 at its PBEsol-relaxed geometry.

Summary:
Total DFT energy (no corrections): -1.292 Ha/atom

a b c (Å): 5.438 5.438 7.780
angles (deg): 79.46 79.46 60.58
Atoms (fractional coordinates):
P 0.128 0.872 0.750
P 0.872 0.128 0.250
Ca 0.468 0.226 0.659
Ca 0.774 0.532 0.841
Ca 0.226 0.468 0.159
Ca 0.532 0.774 0.341
Pt 0.997 0.753 0.492
Pt 0.753 0.997 0.992
Pt 0.003 0.247 0.508
Pt 0.247 0.003 0.008

No. 4
Density functional theory data (SCAN) for CrRh2Au at its PBEsol-relaxed geometry.

Summary:
Total DFT energy (no corrections): -1.425 Ha/atom

a b c (Å): 2.821 4.574 4.574
angles (deg): 106.90 90.00 90.00
Atoms (fractional coordinates):
Rh 0.000 0.000 0.500
Rh 0.000 0.500 0.000
Cr 0.500 0.500 0.500
Au 0.500 0.000 0.000

No. 5
Density functional theory data (SCAN) for Rb2ScGaP at its PBEsol-relaxed geometry.

Summary:
Total DFT energy (no corrections): -0.571 Ha/atom

a b c (Å): 4.983 6.628 6.628
angles (deg): 90.00 90.00 90.00
Atoms (fractional coordinates):
P 0.500 0.500 0.500
Rb 0.000 0.000 0.500
Rb 0.000 0.500 0.000
Sc 0.000 0.000 0.000
Ga 0.500 0.000 0.000

No. 6
Density functional theory data (SCAN) for TlAu at its PBEsol-relaxed geometry.

Summary:
Total DFT energy (no corrections): -2.599 Ha/atom

a b c (Å): 3.800 6.000 6.930
angles (deg): 115.63 105.91 90.00
Atoms (fractional coordinates):
Au 0.632 0.286 0.264
Au 0.631 0.755 0.262
Au 0.006 0.896 0.011
Tl 0.320 0.707 0.639
Tl 0.981 0.370 0.961
Tl 0.265 0.153 0.530

No. 7
Density functional theory data (SCAN) for BeTl2NiIr at its PBEsol-relaxed geometry.

Summary:
Total DFT energy (no corrections): -1.699 Ha/atom

a b c (Å): 3.871 4.639 4.639
angles (deg): 90.00 90.00 90.00
Atoms (fractional coordinates):
Tl 0.000 0.000 0.500
Tl 0.000 0.500 0.000
Ni 0.500 0.000 0.000
Ir 0.500 0.500 0.500
Be 0.000 0.000 0.000

No. 8
Density functional theory data (SCAN) for BaOsSe2 at its PBEsol-relaxed geometry.

Summary:
Total DFT energy (no corrections): -1.383 Ha/atom
ΔE_f (raw): 0.250 eV per atom

a b c (Å): 3.395 5.025 5.025
angles (deg): 90.00 90.00 90.00
Atoms (fractional coordinates):
Se 0.000 0.500 0.000
Se 0.000 0.000 0.500
Ba 0.500 0.500 0.500
Os 0.500 0.000 0.000

No. 9
Density functional theory data (SCAN) for K2PtSe at its PBEsol-relaxed geometry.

Summary:
Total DFT energy (no corrections): -0.996 Ha/atom
ΔE_f (raw): -0.370 eV per atom

a b c (Å): 4.222 5.107 5.107
angles (deg): 117.16 90.00 90.00
Atoms (fractional coordinates):
Pt 0.500 0.000 0.000
Se 0.500 0.500 0.500
K 0.000 0.000 0.500
K 0.000 0.500 0.000

No. 10
Density functional theory data (SCAN) for AlTc2Ru at its PBEsol-relaxed geometry.

Summary:
Total DFT energy (no corrections): -1.048 Ha/atom

a b c (Å): 2.928 2.928 6.344
angles (deg): 90.00 90.00 90.00
Atoms (fractional coordinates):
Al 0.000 0.000 0.504
Tc 0.000 0.000 0.003
Tc 0.500 0.500 0.252
Ru 0.500 0.500 0.741

No. 11
Density functional theory data (SCAN) for LiAsC3 at its PBEsol-relaxed geometry.

Summary:
Total DFT energy (no corrections): -0.278 Ha/atom

a b c (Å): 3.692 3.692 3.692
angles (deg): 90.00 90.00 90.00
Atoms (fractional coordinates):
C 0.000 0.000 0.500
C 0.000 0.500 0.000
C 0.500 0.000 0.000
As 0.500 0.500 0.500
Li 0.000 0.000 0.000

No. 12
Density functional theory data (SCAN) for Al3In2 at its PBEsol-relaxed geometry.

Summary:
Total DFT energy (no corrections): -0.655 Ha/atom

a b c (Å): 3.070 3.070 12.457
angles (deg): 82.92 82.92 60.00
Atoms (fractional coordinates):
Al 0.196 0.196 0.411
Al 0.000 0.000 0.000
Al 0.804 0.804 0.589
In 0.598 0.598 0.206
In 0.402 0.402 0.794

M_tot values (in μB/atom) by entry order: 0.000, 0.000, 0.000, 0.677, 0.411, 0.000, 0.000, 0.000, 0.000, 0.000, 0.000, 0.000.